A geometry-optimized TeP2WF structure, computed with PBE with a Hubbard U.

## Properties
- VASP energy (eV/atom) = -4.190
- N(E_F) (states/eV per cell) = 5.217
- crystal system = tetragonal

Cell: 4.6591 4.6591 5.3759 Å, 90.00 90.00 90.00°
Space group P4/mmm (No. 123)
Asymmetric unit:
Te1 0.0000 0.0000 0.0000 [1 per cell]
P1 0.0000 0.5000 0.5000 [2 per cell]
W1 0.0000 0.0000 0.5000 [1 per cell]
F1 0.5000 0.5000 0.0000 [1 per cell]